Entry 1:
Density functional theory data (SCAN) for a crystal of Er2Al4NiGe2 relaxed with PBEsol.

Calculated values
E_form = -65.6 kJ per mole of atoms
N(E_F) = 2.28 states/eV/f.u.
DFT total energy = -192.2 eV/f.u.

Lattice parameters (Å, degrees): 4.079 4.079 9.979 101.79 101.79 90.00
Atoms (fractional coordinates):
1 Al 0.932 0.432 0.864
2 Al 0.068 0.568 0.136
3 Al 0.568 0.068 0.136
4 Er 0.813 0.813 0.627
5 Ge 0.336 0.336 0.672
6 Er 0.187 0.187 0.373
7 Ge 0.664 0.664 0.328
8 Ni 0.000 0.000 0.000
9 Al 0.432 0.932 0.864

=====

Entry 2:
Density functional theory data (SCAN) for a crystal of Sr2TcCF relaxed with PBEsol.

Calculated values
N(E_F) = 4.55 states/eV/f.u.
DFT total energy = -89.4 eV/f.u.
Uncorrected formation energy = 0.779 eV per atom

Lattice parameters (Å, degrees): 4.001 5.563 5.563 90.00 90.00 90.00
Site moments in Bohr magnetons follow the coordinates.
Atoms (fractional coordinates):
1 Sr 0.000 0.000 0.500  0.01
2 C 0.500 0.500 0.500  0.86
3 Sr 0.000 0.500 0.000  0.01
4 Tc 0.000 0.000 0.000  1.85
5 F 0.500 0.000 0.000  0.10

=====

Entry 3:
Density functional theory data (SCAN) for a crystal of Tl2ReTc relaxed with PBEsol.

Calculated values
E_form = 114.3 kJ per mole of atoms
Polymorph energy (0 for the lowest one) = 81 meV/atom
N(E_F) = 3.33 states/eV/f.u.
DFT total energy = -246.1 eV/f.u.

Lattice parameters (Å, degrees): 4.103 4.103 5.114 113.65 113.65 90.00
Site moments in Bohr magnetons follow the coordinates.
Atoms (fractional coordinates):
1 Tl 0.000 0.000 0.000  0.01
2 Tc 0.250 0.750 0.500  0.97
3 Tl 0.750 0.250 0.500  0.00
4 Re 0.500 0.500 0.000  0.56

=====

Entry 4:
Density functional theory data (SCAN) for a crystal of CaCo4Cu relaxed with PBEsol.

Calculated values
E_form = 24.4 kJ per mole of atoms
N(E_F) = 4.41 states/eV/f.u.
DFT total energy = -92.6 eV/f.u.

Lattice parameters (Å, degrees): 4.805 4.805 4.805 60.00 60.00 60.00
Site moments in Bohr magnetons follow the coordinates.
Atoms (fractional coordinates):
1 Co 0.376 0.872 0.376  1.80
2 Co 0.376 0.376 0.376  1.80
3 Ca 0.000 0.000 0.000  -0.13
4 Cu 0.750 0.750 0.750  0.06
5 Co 0.376 0.376 0.872  1.80
6 Co 0.872 0.376 0.376  1.80